{
  "formula": "BeTlRe2",
  "functional": "PBE",
  "state": "relaxed",
  "e_above_lowest_polymorph_mev_per_atom": 406,
  "e_form_ev_per_atom": 0.72,
  "e_tot_ev_per_atom": -7.03,
  "lattice_angstrom": [[1.502, -2.391, 0.000], [1.502, 2.391, 0.000], [0.000, 0.000, 9.203]],
  "species": ["Be", "Tl", "Re", "Re"],
  "fractional_positions": [[0.000, 0.000, 0.000], [0.500, 0.500, 0.275], [0.000, 0.000, 0.571], [0.500, 0.500, 0.802]]
}